Here is GaP2HPt after structural relaxation from the Alexandria database. Energies are from PBE.

```
5
Lattice="3.061 0.000 0.001 -1.515 5.036 -0.001 -0.006 -0.483 5.667" Properties=species:S:1:pos:R:3 pbc="T T T"
H 1.182 4.554 1.622
Ga 1.163 2.789 4.534
P 1.162 1.745 0.768
P 2.692 0.186 0.355
Pt -0.367 2.413 2.577
```

Values from the calculation:
Size of the total moment (μB/f.u.): 0.0
V (A^3/atom): 17.47
Polymorph energy (0 for the lowest one) (meV/atom): 215